Entry 1:
# Dy6HN5

A relaxed structure of Dy6HN5 (PBE-GGA, the Alexandria database).

Unit cell a=6.020 b=6.020 c=6.025 alpha=99.68 beta=99.68 gamma=119.92
Positions (direct):
Dy  0.437  0.085  0.255
Dy  0.915  0.563  0.745
Dy  0.264  0.264  0.736
Dy  0.736  0.736  0.264
Dy  0.085  0.437  0.255
Dy  0.563  0.915  0.745
H  0.000  0.000  0.000
N  0.832  0.168  0.500
N  0.667  0.333  0.000
N  0.500  0.500  0.500
N  0.333  0.667  0.000
N  0.168  0.832  0.500

Its total magnetization is 0.000 μB per cell. As for the total energy: -7.564 eV/atom. For the calculated density, the calculation gives 9.7 g/cm3.

Entry 2:
# DyPaHN2

A relaxed structure of DyPaHN2 (PBE-GGA, the Alexandria database).

Unit cell a=3.440 b=3.440 c=11.104 alpha=90.00 beta=90.00 gamma=90.00
Positions (direct):
Dy  0.500  0.000  0.633
Dy  0.000  0.500  0.367
Pa  0.500  0.000  0.119
Pa  0.000  0.500  0.881
H  0.000  0.000  0.500
H  0.500  0.500  0.500
N  0.000  0.500  0.693
N  0.000  0.500  0.121
N  0.500  0.000  0.879
N  0.500  0.000  0.307

Its total magnetization is 0.000 μB per cell. As for the total energy: -8.205 eV/atom. For the calculated density, the calculation gives 10.7 g/cm3.

Entry 3:
# NaDy2H

A relaxed structure of NaDy2H (PBE-GGA, the Alexandria database).

Unit cell a=3.527 b=3.527 c=9.799 alpha=79.63 beta=79.63 gamma=60.00
Positions (direct):
Na  0.000  0.000  0.000
H  0.500  0.500  0.500
Dy  0.121  0.121  0.638
Dy  0.879  0.879  0.362

Its total magnetization is 0.000 μB per cell. As for the total energy: -3.496 eV/atom. For the calculated density, the calculation gives 5.6 g/cm3.

Entry 4:
# Na2DyH6

A relaxed structure of Na2DyH6 (PBE-GGA, the Alexandria database).

Unit cell a=5.634 b=5.634 c=5.634 alpha=60.00 beta=60.00 gamma=60.00
Positions (direct):
Na  0.750  0.750  0.750
Na  0.250  0.250  0.250
H  0.267  0.733  0.267
H  0.733  0.267  0.267
H  0.267  0.733  0.733
H  0.733  0.267  0.733
H  0.733  0.733  0.267
H  0.267  0.267  0.733
Dy  0.000  0.000  0.000

Its total magnetization is 0.000 μB per cell. As for the total energy: -2.793 eV/atom. For the calculated density, the calculation gives 2.8 g/cm3.

Entry 5:
# Nd3DyH8

A relaxed structure of Nd3DyH8 (PBE-GGA, the Alexandria database).

Unit cell a=5.398 b=5.398 c=5.398 alpha=90.00 beta=90.00 gamma=90.00
Positions (direct):
Nd  0.500  0.500  0.000
Nd  0.500  0.000  0.500
Nd  0.000  0.500  0.500
Dy  0.000  0.000  0.000
H  0.242  0.242  0.758
H  0.242  0.758  0.242
H  0.758  0.242  0.242
H  0.758  0.758  0.758
H  0.758  0.758  0.242
H  0.758  0.242  0.758
H  0.242  0.758  0.758
H  0.242  0.242  0.242

Its total magnetization is 0.000 μB per cell. As for the total energy: -4.478 eV/atom. For the calculated density, the calculation gives 6.4 g/cm3.

Entry 6:
# NdDy2H8

A relaxed structure of NdDy2H8 (PBE-GGA, the Alexandria database).

Unit cell a=3.690 b=5.260 c=6.404 alpha=114.25 beta=106.74 gamma=90.00
Positions (direct):
Nd  0.500  0.000  0.000
Dy  0.170  0.670  0.340
Dy  0.830  0.330  0.660
H  0.665  0.899  0.331
H  0.335  0.568  0.669
H  0.157  0.157  0.315
H  0.000  0.285  0.000
H  0.843  0.843  0.685
H  0.665  0.432  0.331
H  0.335  0.101  0.669
H  0.000  0.715  0.000

Its total magnetization is 0.000 μB per cell. As for the total energy: -4.319 eV/atom. For the calculated density, the calculation gives 7.4 g/cm3.

Entry 7:
# NdDy2H

A relaxed structure of NdDy2H (PBE-GGA, the Alexandria database).

Unit cell a=3.503 b=3.503 c=9.754 alpha=79.65 beta=79.65 gamma=60.00
Positions (direct):
H  0.500  0.500  0.500
Nd  0.000  0.000  0.000
Dy  0.120  0.120  0.639
Dy  0.880  0.880  0.361

Its total magnetization is 0.000 μB per cell. As for the total energy: -4.377 eV/atom. For the calculated density, the calculation gives 7.7 g/cm3.

Entry 8:
# NdDy3H8

A relaxed structure of NdDy3H8 (PBE-GGA, the Alexandria database).

Unit cell a=5.252 b=5.252 c=5.252 alpha=90.00 beta=90.00 gamma=90.00
Positions (direct):
Nd  0.000  0.000  0.000
Dy  0.500  0.500  0.000
Dy  0.500  0.000  0.500
Dy  0.000  0.500  0.500
H  0.258  0.258  0.742
H  0.258  0.742  0.258
H  0.742  0.258  0.258
H  0.742  0.742  0.742
H  0.742  0.742  0.258
H  0.742  0.258  0.742
H  0.258  0.742  0.742
H  0.258  0.258  0.258

Its total magnetization is 0.000 μB per cell. As for the total energy: -4.482 eV/atom. For the calculated density, the calculation gives 7.3 g/cm3.

Repeat the third record exactly.
# NaDy2H

A relaxed structure of NaDy2H (PBE-GGA, the Alexandria database).

Unit cell a=3.527 b=3.527 c=9.799 alpha=79.63 beta=79.63 gamma=60.00
Positions (direct):
Na  0.000  0.000  0.000
H  0.500  0.500  0.500
Dy  0.121  0.121  0.638
Dy  0.879  0.879  0.362

Its total magnetization is 0.000 μB per cell. As for the total energy: -3.496 eV/atom. For the calculated density, the calculation gives 5.6 g/cm3.

Q: Look up the calculated density of the second one.
A: 10.7 g/cm3

Please write out number 4 again, unchanged.
# Na2DyH6

A relaxed structure of Na2DyH6 (PBE-GGA, the Alexandria database).

Unit cell a=5.634 b=5.634 c=5.634 alpha=60.00 beta=60.00 gamma=60.00
Positions (direct):
Na  0.750  0.750  0.750
Na  0.250  0.250  0.250
H  0.267  0.733  0.267
H  0.733  0.267  0.267
H  0.267  0.733  0.733
H  0.733  0.267  0.733
H  0.733  0.733  0.267
H  0.267  0.267  0.733
Dy  0.000  0.000  0.000

Its total magnetization is 0.000 μB per cell. As for the total energy: -2.793 eV/atom. For the calculated density, the calculation gives 2.8 g/cm3.

Repeat the first record exactly.
# Dy6HN5

A relaxed structure of Dy6HN5 (PBE-GGA, the Alexandria database).

Unit cell a=6.020 b=6.020 c=6.025 alpha=99.68 beta=99.68 gamma=119.92
Positions (direct):
Dy  0.437  0.085  0.255
Dy  0.915  0.563  0.745
Dy  0.264  0.264  0.736
Dy  0.736  0.736  0.264
Dy  0.085  0.437  0.255
Dy  0.563  0.915  0.745
H  0.000  0.000  0.000
N  0.832  0.168  0.500
N  0.667  0.333  0.000
N  0.500  0.500  0.500
N  0.333  0.667  0.000
N  0.168  0.832  0.500

Its total magnetization is 0.000 μB per cell. As for the total energy: -7.564 eV/atom. For the calculated density, the calculation gives 9.7 g/cm3.